# 1
## ZnCdOsPb2 (PBE-GGA)

Data for a relaxed ZnCdOsPb2 crystal.

Cell lengths 5.2799, 5.2799, 5.0031 Å; angles 90.00, 90.00, 90.00 degrees
Space group P4/mmm (No. 123)
Unique sites:
Zn (0.0000, 0.0000, 0.0000) (multiplicity 1)
Cd (0.5000, 0.5000, 0.0000) (multiplicity 1)
Os (0.0000, 0.0000, 0.5000) (multiplicity 1)
Pb (0.0000, 0.5000, 0.5000) (multiplicity 2)

Properties
Density, kg/m³: 9316
Total moment, Bohr magnetons per cell: 0.00
Uncorrected energy, eV per formula unit: -18.8
Volume, Å³/atom: 27.89
Formation enthalpy at 0 K, eV per atom: 0.40

=====

# 2
## CsTl2AgAu (PBE-GGA)

Data for a relaxed CsTl2AgAu crystal.

Cell lengths 5.6219, 5.6219, 5.5845 Å; angles 90.00, 90.00, 90.00 degrees
Space group P4/mmm (No. 123)
Unique sites:
Cs (0.0000, 0.0000, 0.0000) (multiplicity 1)
Tl (0.0000, 0.5000, 0.5000) (multiplicity 2)
Ag (0.5000, 0.5000, 0.0000) (multiplicity 1)
Au (0.5000, 0.5000, 0.5000) (multiplicity 1)

Properties
Density, kg/m³: 7964
Total moment, Bohr magnetons per cell: 0.00
Uncorrected energy, eV per formula unit: -11.5
Volume, Å³/atom: 35.30
Formation enthalpy at 0 K, eV per atom: 0.04
ΔE to the lowest computed polymorph, meV/atom: 0